Record 1
5
Lattice="4.487 0.000 0.000 0.000 4.487 0.000 0.000 0.000 6.104" Properties=species:S:1:pos:R:3 comment="PBE KYAuF2, relaxed" dos_ef_per_ev_cell=0.92 m_tot_mub_per_fu=0.00 sg=P4/mmm pbc="T T T"
K 0.000 0.000 0.000
Y 2.243 2.243 3.052
Au 2.243 2.243 0.000
F 0.000 2.243 3.052
F 2.243 0.000 3.052

=====

Record 2
10
Lattice="0.000 4.650 4.650 4.650 0.000 4.650 4.650 4.650 0.000" Properties=species:S:1:pos:R:3 comment="PBE K2YAuF6, relaxed" m_tot_mub_per_fu=0.01 sg=Fm-3m pbc="T T T"
K 2.325 2.325 2.325
K 6.974 6.974 6.974
Y 0.000 0.000 0.000
Au 4.650 4.650 4.650
F 4.650 4.650 2.172
F 4.650 2.172 4.650
F 7.127 4.650 4.650
F 2.172 4.650 4.650
F 4.650 7.127 4.650
F 4.650 4.650 7.127

=====

Record 3
9
Lattice="3.106 -4.677 0.000 3.106 4.677 0.000 -0.440 0.000 5.627" Properties=species:S:1:pos:R:3 comment="PBE KZnAuF6, relaxed" m_tot_mub_per_fu=0.00 sg=C2 pbc="T T T"
K 0.000 0.000 0.000
Zn 2.886 1.753 2.813
Au 2.886 -1.544 2.813
F 2.088 2.725 1.401
F 2.032 -0.040 1.847
F 3.684 2.725 4.226
F 1.878 -2.942 1.831
F 3.741 -0.040 3.779
F 3.894 -2.942 3.796

=====

Record 4
15
Lattice="5.986 0.000 0.000 -2.993 5.184 0.000 0.000 0.000 7.428" Properties=species:S:1:pos:R:3 comment="PBE K3Zn2AuF9, relaxed" dos_ef_per_ev_cell=2.49 m_tot_mub_per_fu=1.03 sg=P-3m1 pbc="T T T"
K 0.000 0.000 0.000
K 0.000 3.456 4.935
K 2.993 1.728 2.493
Zn 0.000 3.456 1.128
Zn 2.993 1.728 6.300
Au 0.000 0.000 3.714
F -1.496 2.592 0.000
F 0.000 1.822 2.351
F -1.415 4.273 2.351
F 1.578 0.911 5.077
F 2.993 0.000 0.000
F 1.496 2.592 0.000
F 1.415 4.273 2.351
F 4.408 0.911 5.077
F 2.993 3.362 5.077

=====

Record 5
5
Lattice="4.861 0.000 0.000 0.000 4.861 0.000 0.000 0.000 5.469" Properties=species:S:1:pos:R:3 comment="PBE KZrAuF2, relaxed" dos_ef_per_ev_cell=4.37 m_tot_mub_per_fu=3.23 sg=P4/mmm pbc="T T T"
K 0.000 0.000 0.000
Zr 2.430 2.430 0.000
Au 0.000 0.000 2.734
F 0.000 2.430 2.734
F 2.430 0.000 2.734

=====

Record 6
11
Lattice="-2.938 2.938 5.567 2.938 -2.938 5.567 2.938 2.938 -5.567" Properties=species:S:1:pos:R:3 comment="PBE LaAu2F8, relaxed" dos_ef_per_ev_cell=5.76 m_tot_mub_per_fu=1.02 sg=I422 pbc="T T T"
La 0.000 0.000 0.000
Au 2.938 0.000 2.784
Au 0.000 2.938 2.784
F 4.057 0.935 -1.343
F 0.935 1.820 -1.343
F 1.820 0.935 1.343
F 2.004 -1.118 6.910
F 2.004 1.118 4.224
F -1.118 2.004 4.224
F 0.935 4.057 1.343
F 1.118 2.004 6.910

=====

Record 7
10
Lattice="7.487 0.000 0.000 0.000 7.487 0.000 0.000 0.000 4.558" Properties=species:S:1:pos:R:3 comment="PBE La2Au2F, relaxed" dos_ef_per_ev_cell=10.17 m_tot_mub_per_fu=0.00 sg=P4/mbm relative_energy_mev_per_atom=0 pbc="T T T"
La 1.323 2.421 0.000
La 2.421 6.164 0.000
La 5.067 1.323 0.000
La 6.164 5.067 0.000
Au 0.990 4.734 2.279
Au 2.754 0.990 2.279
Au 4.734 6.497 2.279
Au 6.497 2.754 2.279
F 0.000 0.000 0.000
F 3.744 3.744 0.000

=====

Record 8
8
Lattice="-4.297 4.297 2.565 4.297 -4.297 2.565 4.297 4.297 -2.565" Properties=species:S:1:pos:R:3 comment="PBE LaAu2F, relaxed" dos_ef_per_ev_cell=2.20 m_tot_mub_per_fu=0.00 sg=I-42d relative_energy_mev_per_atom=0 pbc="T T T"
La 0.000 0.000 0.000
La 0.000 4.297 1.282
Au 2.149 -2.144 1.923
Au 2.153 2.149 0.641
Au 2.149 6.441 -0.641
Au 2.144 2.149 3.206
F 4.297 0.000 1.282
F 0.000 0.000 2.565

=====

Record 9
5
Lattice="-2.790 2.790 4.755 2.790 -2.790 4.755 2.790 2.790 -4.755" Properties=species:S:1:pos:R:3 comment="PBE La2Au2F, relaxed" dos_ef_per_ev_cell=6.59 m_tot_mub_per_fu=0.00 sg=I4/mmm relative_energy_mev_per_atom=550 pbc="T T T"
La 2.790 0.000 2.377
La 0.000 2.790 2.377
Au 0.000 0.000 1.313
Au 0.000 0.000 8.196
F 0.000 0.000 4.755

=====

Record 10
10
Lattice="8.231 0.000 0.000 0.000 8.231 0.000 0.000 0.000 3.903" Properties=species:S:1:pos:R:3 comment="PBE La2Au2F, relaxed" dos_ef_per_ev_cell=5.48 m_tot_mub_per_fu=0.00 sg=P4/mbm relative_energy_mev_per_atom=330 pbc="T T T"
La 1.397 2.718 0.000
La 2.718 6.834 0.000
La 5.513 1.397 0.000
La 6.834 5.513 0.000
Au 1.046 5.161 1.952
Au 3.070 1.046 1.952
Au 5.161 7.185 1.952
Au 7.185 3.070 1.952
F 0.000 0.000 1.952
F 4.115 4.115 1.952

=====

Record 11
4
Lattice="0.000 3.541 3.541 3.541 0.000 3.541 3.541 3.541 0.000" Properties=species:S:1:pos:R:3 comment="PBE LaAu2F, relaxed" dos_ef_per_ev_cell=0.02 m_tot_mub_per_fu=0.00 sg=Fm-3m relative_energy_mev_per_atom=366 pbc="T T T"
La 0.000 0.000 0.000
Au 1.770 1.770 1.770
Au 5.311 5.311 5.311
F 3.541 3.541 3.541

=====

Record 12
5
Lattice="4.706 0.000 0.000 0.000 4.706 0.000 0.000 0.000 4.706" Properties=species:S:1:pos:R:3 comment="PBE LaAuF3, relaxed" dos_ef_per_ev_cell=2.92 m_tot_mub_per_fu=0.00 sg=Pm-3m relative_energy_mev_per_atom=0 pbc="T T T"
La 0.000 0.000 0.000
Au 2.353 2.353 2.353
F 0.000 0.000 2.353
F 0.000 2.353 0.000
F 2.353 0.000 0.000

=====

Record 13
7
Lattice="-2.526 2.526 7.785 2.526 -2.526 7.785 2.526 2.526 -7.785" Properties=species:S:1:pos:R:3 comment="PBE La4Au2F, relaxed" dos_ef_per_ev_cell=5.52 m_tot_mub_per_fu=0.00 sg=I4/mmm pbc="T T T"
La 2.526 0.000 0.000
La 0.000 0.000 2.998
La 0.000 2.526 0.000
La 0.000 0.000 12.571
Au 0.000 0.000 5.858
Au 0.000 0.000 9.711
F 0.000 0.000 0.000

=====

Record 14
5
Lattice="4.607 0.000 0.000 0.000 4.607 0.000 0.000 0.000 4.607" Properties=species:S:1:pos:R:3 comment="PBE LaAuF3, relaxed" dos_ef_per_ev_cell=8.38 m_tot_mub_per_fu=0.68 sg=Pm-3m relative_energy_mev_per_atom=1185 pbc="T T T"
La 0.000 0.000 0.000
Au 2.303 2.303 2.303
F 0.000 2.303 2.303
F 2.303 0.000 2.303
F 2.303 2.303 0.000

=====

Record 15
12
Lattice="7.511 -2.027 0.000 7.511 2.027 0.000 -0.423 0.000 8.953" Properties=species:S:1:pos:R:3 comment="PBE LaAuF, relaxed" dos_ef_per_ev_cell=9.95 m_tot_mub_per_fu=0.00 sg=C2/m pbc="T T T"
La 1.955 0.000 0.602
La 2.152 0.000 5.726
La 12.447 0.000 3.227
La 12.644 0.000 8.351
Au 0.408 0.000 3.186
Au 6.725 0.000 1.359
Au 7.874 0.000 7.594
Au 14.191 0.000 5.766
F 3.660 0.000 3.552
F 3.710 0.000 7.785
F 10.889 0.000 1.168
F 10.939 0.000 5.401

=====

Record 16
5
Lattice="4.457 0.000 0.000 0.000 4.457 0.000 0.000 0.000 4.563" Properties=species:S:1:pos:R:3 comment="PBE LaAuN2F, relaxed" dos_ef_per_ev_cell=3.78 m_tot_mub_per_fu=0.22 sg=P4/mmm relative_energy_mev_per_atom=453 pbc="T T T"
La 0.000 0.000 0.000
Au 2.229 2.229 2.281
N 0.000 2.229 0.000
N 2.229 0.000 0.000
F 0.000 0.000 2.281

=====

Record 17
5
Lattice="4.035 0.000 0.000 0.000 4.035 0.000 0.000 0.000 4.655" Properties=species:S:1:pos:R:3 comment="PBE LaAuN2F, relaxed" dos_ef_per_ev_cell=3.07 m_tot_mub_per_fu=1.08 sg=P4/mmm relative_energy_mev_per_atom=0 pbc="T T T"
La 0.000 0.000 0.000
Au 2.018 2.018 2.327
N 0.000 2.018 2.327
N 2.018 0.000 2.327
F 2.018 2.018 0.000

=====

Record 18
5
Lattice="4.434 0.000 0.000 0.000 4.434 0.000 0.000 0.000 4.175" Properties=species:S:1:pos:R:3 comment="PBE LaAuNF2, relaxed" dos_ef_per_ev_cell=1.12 m_tot_mub_per_fu=0.10 sg=P4/mmm relative_energy_mev_per_atom=365 pbc="T T T"
La 0.000 0.000 0.000
Au 2.217 2.217 2.087
N 2.217 2.217 0.000
F 0.000 2.217 2.087
F 2.217 0.000 2.087

=====

Record 19
5
Lattice="4.557 0.000 0.000 0.000 4.557 0.000 0.000 0.000 5.178" Properties=species:S:1:pos:R:3 comment="PBE LaAuNF2, relaxed" dos_ef_per_ev_cell=1.65 m_tot_mub_per_fu=1.19 sg=P4/mmm relative_energy_mev_per_atom=0 pbc="T T T"
La 0.000 0.000 0.000
Au 2.278 2.278 2.589
N 0.000 0.000 2.589
F 0.000 2.278 0.000
F 2.278 0.000 0.000

=====

Record 20
5
Lattice="4.610 0.000 0.000 0.000 4.610 0.000 0.000 0.000 6.299" Properties=species:S:1:pos:R:3 comment="PBE NaLaAuF2, relaxed" dos_ef_per_ev_cell=3.07 m_tot_mub_per_fu=0.00 sg=P4/mmm pbc="T T T"
Na 0.000 0.000 0.000
La 2.305 2.305 3.150
Au 2.305 2.305 0.000
F 0.000 2.305 3.150
F 2.305 0.000 3.150

=====

Number 1: electronic total energy -25.91 eV per cell. Number 2: electronic total energy -50.40 eV per cell. Number 3: electronic total energy -33.57 eV per cell. Number 4: electronic total energy -59.23 eV per cell. Number 5: electronic total energy -15.72 eV per cell. Number 6: electronic total energy -49.42 eV per cell. Number 7: electronic total energy -50.96 eV per cell. Number 8: electronic total energy -38.20 eV per cell. Number 9: electronic total energy -22.73 eV per cell. Number 10: electronic total energy -47.65 eV per cell. Number 11: electronic total energy -17.63 eV per cell. Number 12: electronic total energy -27.39 eV per cell. Number 13: electronic total energy -35.99 eV per cell. Number 14: electronic total energy -21.46 eV per cell. Number 15: electronic total energy -65.48 eV per cell. Number 16: electronic total energy -25.16 eV per cell. Number 17: electronic total energy -27.42 eV per cell. Number 18: electronic total energy -24.88 eV per cell. Number 19: electronic total energy -26.71 eV per cell. Number 20: electronic total energy -24.37 eV per cell.